Crystalline NiMoAs2O8 at its relaxed geometry. Source: the Alexandria database, functional PBE+U.

Unit cell a=5.526 b=5.526 c=5.860 alpha=90.00 beta=90.00 gamma=120.00
Element x y z (fractional)
Ni: 0.000 0.000 0.000
Mo: 0.000 0.000 0.500
As: 0.333 0.667 0.661
As: 0.667 0.333 0.339
O: 0.159 0.317 0.755
O: 0.159 0.841 0.755
O: 0.317 0.159 0.245
O: 0.333 0.667 0.380
O: 0.667 0.333 0.620
O: 0.683 0.841 0.755
O: 0.841 0.159 0.245
O: 0.841 0.683 0.245

* VASP energy: -71.4 eV/cell
* total moment: 0.3297 μB per atom
* space group: P-3m1, No. 164